1.
The following is a DFT calculation (PBE) of crystalline ErHfZnOs at its relaxed geometry.

Results
Crystal system: cubic
Energy of formation: -0.33 eV per atom
V: 18.940 Å³/atom
SG: F-43m

abc: 4.750 4.750 4.750
angles: 60.00 60.00 60.00
Fractional positions:
1 Hf 0.750 0.750 0.750
2 Zn 0.000 0.000 0.000
3 Os 0.500 0.500 0.500
4 Er 0.250 0.250 0.250



2.
The following is a DFT calculation (PBE) of crystalline Er5Hf3P8 at its relaxed geometry.

Results
Crystal system: trigonal
Energy of formation: -1.49 eV per atom
V: 20.256 Å³/atom
SG: R-3m

abc: 7.694 7.694 7.726
angles: 60.14 60.14 60.00
Fractional positions:
1 Er 0.500 0.000 0.000
2 Er 0.500 0.500 0.000
3 Er 0.000 0.000 0.000
4 Er 0.000 0.500 0.000
5 Er 0.500 0.500 0.500
6 Hf 0.500 0.000 0.500
7 Hf 0.000 0.000 0.500
8 Hf 0.000 0.500 0.500
9 P 0.250 0.250 0.739
10 P 0.250 0.761 0.739
11 P 0.761 0.250 0.739
12 P 0.755 0.755 0.734
13 P 0.750 0.750 0.261
14 P 0.750 0.239 0.261
15 P 0.239 0.750 0.261
16 P 0.245 0.245 0.266



3.
The following is a DFT calculation (PBE) of crystalline ErHfP at its relaxed geometry.

Results
Crystal system: trigonal
Energy of formation: -0.65 eV per atom
V: 21.498 Å³/atom
SG: R-3m

abc: 4.397 4.397 8.111
angles: 74.27 74.27 60.00
Fractional positions:
1 Hf 0.628 0.628 0.117
2 Hf 0.372 0.372 0.883
3 P 0.258 0.258 0.225
4 P 0.742 0.742 0.775
5 Er 0.876 0.876 0.373
6 Er 0.124 0.124 0.627



4.
The following is a DFT calculation (PBE) of crystalline ErHf2P at its relaxed geometry.

Results
Crystal system: trigonal
Energy of formation: -0.27 eV per atom
V: 24.338 Å³/atom
SG: R-3m

abc: 3.460 3.460 9.602
angles: 79.62 79.62 60.00
Fractional positions:
1 P 0.500 0.500 0.500
2 Hf 0.113 0.113 0.660
3 Hf 0.887 0.887 0.340
4 Er 0.000 0.000 0.000



5.
The following is a DFT calculation (PBE) of crystalline Er5HfP6 at its relaxed geometry.

Results
Crystal system: monoclinic
Energy of formation: -1.57 eV per atom
V: 21.194 Å³/atom
SG: C2/m

abc: 6.781 6.780 6.777
angles: 59.98 80.40 70.52
Fractional positions:
1 P 0.757 0.081 0.324
2 P 0.243 0.596 0.324
3 P 0.245 0.241 0.000
4 P 0.755 0.759 0.000
5 P 0.757 0.404 0.676
6 P 0.243 0.919 0.676
7 Hf 0.000 0.000 0.000
8 Er 0.500 0.169 0.662
9 Er 0.000 0.334 0.332
10 Er 0.500 0.500 0.000
11 Er 0.000 0.666 0.668
12 Er 0.500 0.831 0.338



6.
The following is a DFT calculation (PBE) of crystalline Er2HfP3 at its relaxed geometry.

Results
Crystal system: tetragonal
Energy of formation: -1.48 eV per atom
V: 20.449 Å³/atom
SG: I4/mmm

abc: 8.627 8.627 8.627
angles: 154.06 154.06 37.02
Fractional positions:
1 Er 0.667 0.667 0.000
2 Er 0.333 0.333 0.000
3 Hf 0.000 0.000 0.000
4 P 0.500 0.500 0.000
5 P 0.839 0.839 0.000
6 P 0.161 0.161 0.000



Q: V of number 4 (ErHf2P)?
A: 24.338 Å³/atom



Q: Look up the energy of formation of the first one.
A: -0.33 eV per atom



What did the sixth record say?
The following is a DFT calculation (PBE) of crystalline Er2HfP3 at its relaxed geometry.

Results
Crystal system: tetragonal
Energy of formation: -1.48 eV per atom
V: 20.449 Å³/atom
SG: I4/mmm

abc: 8.627 8.627 8.627
angles: 154.06 154.06 37.02
Fractional positions:
1 Er 0.667 0.667 0.000
2 Er 0.333 0.333 0.000
3 Hf 0.000 0.000 0.000
4 P 0.500 0.500 0.000
5 P 0.839 0.839 0.000
6 P 0.161 0.161 0.000